No. 1
YBS2Cl: optimized geometry, PBE-GGA.

Geometry as extended XYZ:
```
5
Lattice="-4.9165 0.4169 1.8719 -0.0421 -5.1733 1.0416 1.9070 0.9504 4.7972" Properties=species:S:1:pos:R:3 pbc="T T T"
Cl 0.9535 0.4752 2.3986
Y 0.0000 0.0000 0.0000
S -0.0210 -2.5866 0.5208
S -2.4583 0.2084 0.9359
B -1.5258 -1.9030 3.8553
```

Results
Uncorrected formation energy, meV/atom: 153.6
Energy relative to the lowest polymorph listed for this composition, meV/atom: 656.0
Space group: P4/mmm (123)
Crystal system: tetragonal

***

No. 2
PmHoBi2: optimized geometry, PBE-GGA.

Geometry as extended XYZ:
```
4
Lattice="4.4890 0.0000 0.0000 2.2445 3.8876 0.0000 2.2445 1.2959 7.6760" Properties=species:S:1:pos:R:3 pbc="T T T"
Pm 6.7334 3.8876 7.6276
Bi 2.2445 1.2959 1.9427
Ho 4.4890 2.5917 3.8832
Bi 2.2445 1.2959 5.7363
```

Results
Energy relative to the lowest polymorph listed for this composition, meV/atom: 111.7
Space group: R3m (160)
Crystal system: trigonal
ΔH_f (0 K), meV per atom: -774.7

***

No. 3
UCrSi2Os: optimized geometry, PBE-GGA.

Geometry as extended XYZ:
```
5
Lattice="4.0457 0.0000 0.0000 0.0000 4.0457 0.0000 -2.0229 -2.0229 4.9969" Properties=species:S:1:pos:R:3 pbc="T T T"
U 0.0000 0.0000 0.0000
Si 0.0000 0.0000 3.8140
Os 0.0000 2.0229 2.4984
Si 2.0229 2.0229 1.1829
Cr 2.0229 0.0000 2.4984
```

Results
Uncorrected formation energy, meV/atom: -399.4
Space group: I-4m2 (119)
Crystal system: tetragonal

***

No. 4
Zr3Ni: optimized geometry, PBE-GGA.

Geometry as extended XYZ:
```
4
Lattice="-2.1225 -2.0276 4.3563 5.3377 1.9256 0.3298 -0.1701 2.9503 1.2903" Properties=species:S:1:pos:R:3 pbc="T T T"
Zr 1.6305 1.8847 3.9640
Ni -0.0529 -0.0505 0.1086
Zr 2.0009 1.5236 0.8093
Zr -0.9720 0.6278 2.4657
```

Results
Space group: Imm2 (44)
Crystal system: orthorhombic
ΔH_f (0 K), meV per atom: -173.2

***

Number 1: final energy -4.49 eV per atom. Number 2: final energy -5.05 eV per atom. Number 3: final energy -9.00 eV per atom. Number 4: final energy -8.03 eV per atom.